Record 1
Computed, not measured: crystalline Sr2SbOs at its relaxed geometry at the GGA-PBE level of DFT.

Calculated values
**Final energy**: -17.02 eV/cell
**E_form (uncorrected)**: 9.8 kcal/mol of atoms

```
Sr2SbOs
1.0
10.130 0.033 0.020
9.470 3.598 0.020
9.470 1.755 3.141
Sb Os Sr
1 1 2
Cartesian
21.803 4.040 2.386
7.268 1.347 0.795
14.813 2.745 1.621
28.793 5.335 3.150
```

***

Record 2
Computed, not measured: crystalline TlZnOs2 at its relaxed geometry at the GGA-PBE level of DFT.

Calculated values
**Final energy**: -23.16 eV/cell
**E above lowest polymorph**: 379 meV per atom
**ΔH_f (0 K)**: 0.7343 eV per atom

```
TlZnOs2
1.0
4.477 0.000 0.000
0.000 2.874 -0.002
0.000 0.009 5.321
Os Tl Zn
2 1 1
Cartesian
0.000 1.386 2.912
0.000 0.063 5.067
2.238 0.721 1.330
2.238 2.162 3.989
```

***

Record 3
Computed, not measured: crystalline SiBTe2Ir at its relaxed geometry at the GGA-PBE level of DFT.

Calculated values
**Final energy**: -21.70 eV/cell
**E_form (uncorrected)**: 25.6 kcal/mol of atoms

```
SiBTe2Ir
1.0
-2.639 0.961 -4.417
2.623 -1.673 -1.931
-2.525 -4.556 0.517
Te B Ir Si
2 1 1 1
Cartesian
-1.263 -2.278 0.259
-1.320 0.480 -2.209
1.311 -0.837 -0.966
-1.271 -2.634 -2.915
0.000 0.000 0.000
```

***

Computed D(E_F) (states/eV per atom) in order:
0.442 0.534 0.295